# TaHg2P | Alexandria | PBE-GGA | relaxed
data_TaHg2P
_chemical_formula_sum 'Ta2 Hg4 P2'
_cell_length_a 9.055
_cell_length_b 3.404
_cell_length_c 5.474
_cell_angle_alpha 90.00
_cell_angle_beta 107.27
_cell_angle_gamma 90.00
_space_group_name_H-M_alt 'C 1 m 1'
_space_group_IT_number 8
loop_
_space_group_symop_operation_xyz
'x,y,z'
'x,-y,z'
'x+1/2,y+1/2,z'
'x+1/2,-y+1/2,z'
loop_
_atom_site_label
_atom_site_type_symbol
_atom_site_fract_x
_atom_site_fract_y
_atom_site_fract_z
Ta1 Ta 0.000 0.000 0.000
Hg1 Hg 0.243 0.000 0.661
Hg2 Hg 0.472 0.000 0.416
P1 P 0.206 0.500 0.038
# Magnetization (μB per formula unit): 0.00
# Energy of formation (meV/atom): 195
# Crystal system: monoclinic

# PaCoBr | Alexandria | PBE-GGA | relaxed
data_PaCoBr
_chemical_formula_sum 'Pa4 Co4 Br4'
_cell_length_a 6.843
_cell_length_b 3.950
_cell_length_c 11.581
_cell_angle_alpha 90.00
_cell_angle_beta 101.49
_cell_angle_gamma 90.00
_space_group_name_H-M_alt 'C 1 2/m 1'
_space_group_IT_number 12
loop_
_space_group_symop_operation_xyz
'x,y,z'
'-x,-y,-z'
'-x,y,-z'
'x,-y,z'
'x+1/2,y+1/2,z'
'-x+1/2,-y+1/2,-z'
'-x+1/2,y+1/2,-z'
'x+1/2,-y+1/2,z'
loop_
_atom_site_label
_atom_site_type_symbol
_atom_site_fract_x
_atom_site_fract_y
_atom_site_fract_z
Pa1 Pa 0.051 0.000 0.153
Co1 Co 0.154 0.500 0.961
Br1 Br 0.220 0.000 0.665
# Magnetization (μB per formula unit): 0.77
# E_form (uncorrected) (meV/atom): -702
# Crystal system: monoclinic

# Ga2Ni2W | Alexandria | PBE-GGA | relaxed
data_Ga2Ni2W
_chemical_formula_sum 'Ga4 Ni4 W2'
_cell_length_a 7.022
_cell_length_b 7.022
_cell_length_c 2.688
_cell_angle_alpha 90.00
_cell_angle_beta 90.00
_cell_angle_gamma 90.00
_space_group_name_H-M_alt 'P 4/m b m'
_space_group_IT_number 127
_space_group_name_Hall '-P 4 2ab'
loop_
_atom_site_label
_atom_site_type_symbol
_atom_site_fract_x
_atom_site_fract_y
_atom_site_fract_z
Ga1 Ga 0.139 0.361 0.000
Ni1 Ni 0.159 0.659 0.500
W1 W 0.000 0.000 0.000
# Magnetization (μB per formula unit): 0.00
# Energy of formation (meV/atom): -81
# Crystal system: tetragonal

# InAs2P | Alexandria | PBE-GGA | relaxed
data_InAs2P
_chemical_formula_sum 'In2 As4 P2'
_cell_length_a 3.880
_cell_length_b 3.880
_cell_length_c 11.005
_cell_angle_alpha 90.00
_cell_angle_beta 90.00
_cell_angle_gamma 90.00
_space_group_name_H-M_alt 'I 4/m m m'
_space_group_IT_number 139
_space_group_name_Hall '-I 4 2'
loop_
_atom_site_label
_atom_site_type_symbol
_atom_site_fract_x
_atom_site_fract_y
_atom_site_fract_z
In1 In 0.000 0.000 0.000
As1 As 0.000 0.500 0.250
P1 P 0.000 0.000 0.500
# Magnetization (μB per formula unit): 0.00
# Energy of formation (meV/atom): 410
# Crystal system: tetragonal

# AsAuSeI2 | Alexandria | PBE-GGA | relaxed
data_AsAuSeI2
_chemical_formula_sum 'As1 Au1 Se1 I2'
_cell_length_a 5.844
_cell_length_b 5.844
_cell_length_c 4.874
_cell_angle_alpha 90.00
_cell_angle_beta 90.00
_cell_angle_gamma 90.00
_space_group_name_H-M_alt 'P 4/m m m'
_space_group_IT_number 123
_space_group_name_Hall '-P 4 2'
loop_
_atom_site_label
_atom_site_type_symbol
_atom_site_fract_x
_atom_site_fract_y
_atom_site_fract_z
As1 As 0.000 0.000 0.000
Au1 Au 0.000 0.000 0.500
Se1 Se 0.500 0.500 0.500
I1 I 0.000 0.500 0.000
# Magnetization (μB per formula unit): 2.23
# E_form (uncorrected) (meV/atom): 524
# Crystal system: tetragonal

# GaSnPd | Alexandria | PBE-GGA | relaxed
data_GaSnPd
_chemical_formula_sum 'Ga2 Sn2 Pd2'
_cell_length_a 3.338
_cell_length_b 3.338
_cell_length_c 10.394
_cell_angle_alpha 90.00
_cell_angle_beta 90.00
_cell_angle_gamma 90.00
_space_group_name_H-M_alt 'I 4 m m'
_space_group_IT_number 107
_space_group_name_Hall 'I 4 -2'
loop_
_atom_site_label
_atom_site_type_symbol
_atom_site_fract_x
_atom_site_fract_y
_atom_site_fract_z
Ga1 Ga 0.000 0.000 0.000
Sn1 Sn 0.000 0.000 0.703
Pd1 Pd 0.000 0.000 0.375
# Magnetization (μB per formula unit): 0.00
# Energy of formation (meV/atom): -265
# Crystal system: tetragonal

# CaTc | Alexandria | PBE-GGA | relaxed
data_CaTc
_chemical_formula_sum 'Ca4 Tc4'
_cell_length_a 5.366
_cell_length_b 3.093
_cell_length_c 10.768
_cell_angle_alpha 90.00
_cell_angle_beta 99.27
_cell_angle_gamma 90.00
_space_group_name_H-M_alt 'C 1 m 1'
_space_group_IT_number 8
loop_
_space_group_symop_operation_xyz
'x,y,z'
'x,-y,z'
'x+1/2,y+1/2,z'
'x+1/2,-y+1/2,z'
loop_
_atom_site_label
_atom_site_type_symbol
_atom_site_fract_x
_atom_site_fract_y
_atom_site_fract_z
Ca1 Ca 0.000 0.000 0.000
Ca2 Ca 0.220 0.000 0.679
Tc1 Tc 0.410 0.000 0.236
Tc2 Tc 0.477 0.000 0.442
# Magnetization (μB per formula unit): 0.00
# Energy of formation (meV/atom): 775
# Crystal system: monoclinic

# CsCaSbH2 | Alexandria | PBE-GGA | relaxed
data_CsCaSbH2
_chemical_formula_sum 'Cs1 Ca1 Sb1 H2'
_cell_length_a 5.6612
_cell_length_b 5.6612
_cell_length_c 4.7163
_cell_angle_alpha 90.00
_cell_angle_beta 90.00
_cell_angle_gamma 120.00
_space_group_name_H-M_alt 'P 3 m 1'
_space_group_IT_number 156
loop_
_space_group_symop_operation_xyz
'x,y,z'
'-y,x-y,z'
'-x+y,-x,z'
'-y,-x,z'
'-x+y,y,z'
'x,x-y,z'
loop_
_atom_site_label
_atom_site_type_symbol
_atom_site_fract_x
_atom_site_fract_y
_atom_site_fract_z
Cs1 Cs 0.0000 0.0000 0.0000
Ca1 Ca 0.6667 0.3333 0.5041
Sb1 Sb 0.3333 0.6667 0.4991
H1 H 0.3333 0.6667 0.1261
H2 H 0.6667 0.3333 0.0032
# Uncorrected energy (eV/atom): -3.137
# Magnetization (μB per formula unit): 0.00
# Crystal system: trigonal

# La8Pm4Mg | Alexandria | PBE-GGA | relaxed
data_La8Pm4Mg
_chemical_formula_sum 'La24 Pm12 Mg3'
_cell_length_a 11.8129
_cell_length_b 11.8129
_cell_length_c 11.9079
_cell_angle_alpha 90.00
_cell_angle_beta 90.00
_cell_angle_gamma 120.00
_space_group_name_H-M_alt 'R -3 m'
_space_group_IT_number 166
_space_group_name_Hall '-R 3 2"'
loop_
_atom_site_label
_atom_site_type_symbol
_atom_site_fract_x
_atom_site_fract_y
_atom_site_fract_z
La1 La 0.0000 0.0000 0.2378
La2 La 0.0032 0.5016 0.3296
Pm1 Pm 0.0000 0.0000 0.0000
Pm2 Pm 0.0000 0.5000 0.0000
Mg1 Mg 0.0000 0.0000 0.5000
# Magnetization (μB per formula unit): 0.00
# Energy of formation (meV/atom): 345
# Crystal system: trigonal

# Sc5GaRh | Alexandria | PBE-GGA | relaxed
data_Sc5GaRh
_chemical_formula_sum 'Sc20 Ga4 Rh4'
_cell_length_a 8.152
_cell_length_b 8.266
_cell_length_c 9.048
_cell_angle_alpha 90.00
_cell_angle_beta 94.04
_cell_angle_gamma 90.00
_space_group_name_H-M_alt 'C 1 2/c 1'
_space_group_IT_number 15
loop_
_space_group_symop_operation_xyz
'x,y,z'
'-x,-y,-z'
'-x,y,-z+1/2'
'x,-y,z+1/2'
'x+1/2,y+1/2,z'
'-x+1/2,-y+1/2,-z'
'-x+1/2,y+1/2,-z+1/2'
'x+1/2,-y+1/2,z+1/2'
loop_
_atom_site_label
_atom_site_type_symbol
_atom_site_fract_x
_atom_site_fract_y
_atom_site_fract_z
Sc1 Sc 0.000 0.145 0.250
Sc2 Sc 0.159 0.218 0.660
Sc3 Sc 0.178 0.411 0.009
Ga1 Ga 0.000 0.484 0.250
Rh1 Rh 0.000 0.000 0.000
# Magnetization (μB per formula unit): 0.00
# Energy of formation (meV/atom): -401
# Crystal system: monoclinic

# Ce5MgRh6 | Alexandria | PBE-GGA | relaxed
data_Ce5MgRh6
_chemical_formula_sum 'Ce10 Mg2 Rh12'
_cell_length_a 4.548
_cell_length_b 6.890
_cell_length_c 15.395
_cell_angle_alpha 90.00
_cell_angle_beta 90.00
_cell_angle_gamma 90.00
_space_group_name_H-M_alt 'I m m m'
_space_group_IT_number 71
_space_group_name_Hall '-I 2 2'
loop_
_atom_site_label
_atom_site_type_symbol
_atom_site_fract_x
_atom_site_fract_y
_atom_site_fract_z
Ce1 Ce 0.000 0.000 0.000
Ce2 Ce 0.000 0.000 0.342
Ce3 Ce 0.000 0.500 0.318
Mg1 Mg 0.000 0.500 0.000
Rh1 Rh 0.000 0.256 0.145
Rh2 Rh 0.000 0.257 0.500
# Magnetization (μB per formula unit): 0.71
# Energy of formation (meV/atom): -680
# Crystal system: orthorhombic

# HgRuW2 | Alexandria | PBE-GGA | relaxed
data_HgRuW2
_chemical_formula_sum 'Hg4 Ru4 W8'
_cell_length_a 6.423
_cell_length_b 6.423
_cell_length_c 6.423
_cell_angle_alpha 90.00
_cell_angle_beta 90.00
_cell_angle_gamma 90.00
_space_group_name_H-M_alt 'F -4 3 m'
_space_group_IT_number 216
_space_group_name_Hall 'F -4 2 3'
loop_
_atom_site_label
_atom_site_type_symbol
_atom_site_fract_x
_atom_site_fract_y
_atom_site_fract_z
Hg1 Hg 0.000 0.000 0.000
Ru1 Ru 0.250 0.250 0.750
W1 W 0.000 0.000 0.500
W2 W 0.250 0.250 0.250
# Magnetization (μB per formula unit): 0.00
# Energy of formation (meV/atom): 645
# Crystal system: cubic

# In3C2 | Alexandria | PBE-GGA | relaxed
data_In3C2
_chemical_formula_sum 'In9 C6'
_cell_length_a 3.4970
_cell_length_b 3.4970
_cell_length_c 23.5371
_cell_angle_alpha 90.00
_cell_angle_beta 90.00
_cell_angle_gamma 120.00
_space_group_name_H-M_alt 'R -3 m'
_space_group_IT_number 166
_space_group_name_Hall '-R 3 2"'
loop_
_atom_site_label
_atom_site_type_symbol
_atom_site_fract_x
_atom_site_fract_y
_atom_site_fract_z
In1 In 0.0000 0.0000 0.0000
In2 In 0.0000 0.0000 0.2218
C1 C 0.0000 0.0000 0.3945
# Magnetization (μB per formula unit): 0.00
# Energy of formation (meV/atom): 1128
# Crystal system: trigonal

# Ca2MgSi3Pt12 | Alexandria | PBE-GGA | relaxed
data_Ca2MgSi3Pt12
_chemical_formula_sum 'Ca6 Mg3 Si9 Pt36'
_cell_length_a 8.2972
_cell_length_b 8.2972
_cell_length_c 17.4285
_cell_angle_alpha 90.00
_cell_angle_beta 90.00
_cell_angle_gamma 120.00
_space_group_name_H-M_alt 'R -3 m'
_space_group_IT_number 166
_space_group_name_Hall '-R 3 2"'
loop_
_atom_site_label
_atom_site_type_symbol
_atom_site_fract_x
_atom_site_fract_y
_atom_site_fract_z
Ca1 Ca 0.0000 0.0000 0.1037
Mg1 Mg 0.0000 0.0000 0.5000
Si1 Si 0.0000 0.5000 0.0000
Pt1 Pt 0.0118 0.5059 0.8675
Pt2 Pt 0.0307 0.5154 0.3693
# Magnetization (μB per formula unit): 0.00
# E_form (uncorrected) (meV/atom): -458
# Crystal system: trigonal

# CaAcNdGa | Alexandria | PBE-GGA | relaxed
data_CaAcNdGa
_chemical_formula_sum 'Ca4 Ac4 Nd4 Ga4'
_cell_length_a 7.996
_cell_length_b 7.996
_cell_length_c 7.996
_cell_angle_alpha 90.00
_cell_angle_beta 90.00
_cell_angle_gamma 90.00
_space_group_name_H-M_alt 'F -4 3 m'
_space_group_IT_number 216
_space_group_name_Hall 'F -4 2 3'
loop_
_atom_site_label
_atom_site_type_symbol
_atom_site_fract_x
_atom_site_fract_y
_atom_site_fract_z
Ca1 Ca 0.000 0.000 0.000
Ac1 Ac 0.250 0.250 0.750
Nd1 Nd 0.250 0.250 0.250
Ga1 Ga 0.000 0.000 0.500
# Magnetization (μB per formula unit): 0.00
# Energy of formation (meV/atom): -92
# Crystal system: cubic

# CaCr2Pt | Alexandria | PBE-GGA | relaxed
data_CaCr2Pt
_chemical_formula_sum 'Ca1 Cr2 Pt1'
_cell_length_a 3.552
_cell_length_b 3.552
_cell_length_c 6.167
_cell_angle_alpha 90.00
_cell_angle_beta 90.00
_cell_angle_gamma 90.00
_space_group_name_H-M_alt 'P 4/m m m'
_space_group_IT_number 123
_space_group_name_Hall '-P 4 2'
loop_
_atom_site_label
_atom_site_type_symbol
_atom_site_fract_x
_atom_site_fract_y
_atom_site_fract_z
Ca1 Ca 0.000 0.000 0.000
Cr1 Cr 0.500 0.500 0.351
Pt1 Pt 0.000 0.000 0.500
# Magnetization (μB per formula unit): 0.99
# Energy of formation (meV/atom): 367
# Crystal system: tetragonal

# Hf2InNi2 | Alexandria | PBE-GGA | relaxed
data_Hf2InNi2
_chemical_formula_sum 'Hf4 In2 Ni4'
_cell_length_a 3.320
_cell_length_b 3.320
_cell_length_c 16.752
_cell_angle_alpha 90.00
_cell_angle_beta 90.00
_cell_angle_gamma 90.00
_space_group_name_H-M_alt 'I 4/m m m'
_space_group_IT_number 139
_space_group_name_Hall '-I 4 2'
loop_
_atom_site_label
_atom_site_type_symbol
_atom_site_fract_x
_atom_site_fract_y
_atom_site_fract_z
Hf1 Hf 0.000 0.000 0.129
In1 In 0.000 0.000 0.500
Ni1 Ni 0.000 0.500 0.250
# Magnetization (μB per formula unit): 0.00
# Energy of formation (meV/atom): -148
# Crystal system: tetragonal

# HfAl2NiRu | Alexandria | PBE-GGA | relaxed
data_HfAl2NiRu
_chemical_formula_sum 'Hf1 Al2 Ni1 Ru1'
_cell_length_a 5.141
_cell_length_b 5.141
_cell_length_c 4.619
_cell_angle_alpha 90.00
_cell_angle_beta 90.00
_cell_angle_gamma 90.00
_space_group_name_H-M_alt 'P 4/m m m'
_space_group_IT_number 123
_space_group_name_Hall '-P 4 2'
loop_
_atom_site_label
_atom_site_type_symbol
_atom_site_fract_x
_atom_site_fract_y
_atom_site_fract_z
Hf1 Hf 0.000 0.000 0.000
Al1 Al 0.000 0.500 0.000
Ni1 Ni 0.500 0.500 0.500
Ru1 Ru 0.000 0.000 0.500
# Magnetization (μB per formula unit): 0.40
# Energy of formation (meV/atom): 1512
# Crystal system: tetragonal

# LuTiTcPd | Alexandria | PBE-GGA | relaxed
data_LuTiTcPd
_chemical_formula_sum 'Lu4 Ti4 Tc4 Pd4'
_cell_length_a 6.507
_cell_length_b 6.507
_cell_length_c 6.507
_cell_angle_alpha 90.00
_cell_angle_beta 90.00
_cell_angle_gamma 90.00
_space_group_name_H-M_alt 'F -4 3 m'
_space_group_IT_number 216
_space_group_name_Hall 'F -4 2 3'
loop_
_atom_site_label
_atom_site_type_symbol
_atom_site_fract_x
_atom_site_fract_y
_atom_site_fract_z
Lu1 Lu 0.000 0.000 0.000
Ti1 Ti 0.000 0.000 0.500
Tc1 Tc 0.250 0.250 0.250
Pd1 Pd 0.250 0.250 0.750
# Magnetization (μB per formula unit): 0.00
# Energy of formation (meV/atom): -484
# Crystal system: cubic